[1]
Material: Li4V3P8O29
Method: DFT, SCAN
State: PBEsol geometry

Properties
formation energy without anion corrections: -236.43 kJ per mole of atoms
density: 2.62 g/cm³
magnetic moment: 0.02 μB/atom
V: 566.4 Å³/f.u.
calculated total energy: -9.8577 eV per atom

Unit cell a=9.556 b=9.556 c=14.255 alpha=86.58 beta=86.58 gamma=60.73
Sites, in units of the cell vectors:
Li 0.674 0.112 0.314
Li 0.118 0.645 0.811
Li 0.230 0.664 0.298
Li 0.888 0.326 0.686
Li 0.336 0.770 0.702
Li 0.355 0.882 0.189
Li 0.963 0.986 0.732
Li 0.014 0.037 0.268
V 0.583 0.417 0.000
V 0.432 0.568 0.500
V 0.989 0.450 0.501
V 0.013 0.542 0.025
V 0.458 0.987 0.975
V 0.550 0.011 0.499
P 0.195 0.082 0.577
P 0.098 0.175 0.074
P 0.677 0.073 0.100
P 0.339 0.346 0.889
P 0.319 0.358 0.389
P 0.683 0.227 0.592
P 0.773 0.317 0.408
P 0.085 0.688 0.602
P 0.927 0.323 0.900
P 0.238 0.671 0.092
P 0.329 0.762 0.908
P 0.654 0.661 0.111
P 0.642 0.681 0.611
P 0.312 0.915 0.398
P 0.918 0.805 0.423
P 0.825 0.902 0.926
O 0.243 0.986 0.304
O 0.279 0.052 0.070
O 0.982 0.284 0.801
O 0.057 0.257 0.580
O 0.357 0.082 0.569
O 0.353 0.177 0.907
O 0.526 0.076 0.065
O 0.869 0.992 0.853
O 0.610 0.117 0.578
O 0.173 0.339 0.429
O 0.074 0.349 0.086
O 0.472 0.194 0.405
O 0.295 0.417 0.792
O 0.301 0.431 0.292
O 0.498 0.328 0.924
O 0.081 0.533 0.581
O 0.206 0.458 0.960
O 0.660 0.241 0.079
O 0.796 0.204 0.500
O 0.816 0.212 0.326
O 0.788 0.184 0.674
O 0.547 0.402 0.589
O 0.322 0.478 0.458
O 0.759 0.340 0.921
O 0.392 0.511 0.075
O 0.093 0.640 0.098
O 0.041 0.179 0.970
O 0.008 0.131 0.147
O 0.018 0.823 0.344
O 0.883 0.390 0.422
O 0.598 0.453 0.411
O 0.258 0.664 0.591
O 0.672 0.502 0.076
O 0.489 0.608 0.925
O 0.244 0.758 0.824
O 0.242 0.756 0.176
O 0.215 0.785 0.000
O 0.336 0.742 0.409
O 0.806 0.528 0.595
O 0.924 0.474 0.935
O 0.522 0.678 0.542
O 0.569 0.699 0.708
O 0.583 0.705 0.208
O 0.542 0.794 0.040
O 0.918 0.643 0.431
O 0.823 0.647 0.093
O 0.360 0.907 0.902
O 0.182 0.016 0.478
O 0.177 0.982 0.656
O 0.467 0.919 0.419
O 0.661 0.827 0.571
O 0.651 0.926 0.914
O 0.948 0.721 0.930
O 0.014 0.757 0.696
O 0.984 0.818 0.522
O 0.743 0.943 0.420
O 0.716 0.018 0.199
O 0.821 0.959 0.030


[2]
Material: TmMg5
Method: DFT, SCAN
State: PBEsol geometry

Properties
density: 3.40 g/cm³
calculated formation energy: 14 meV/atom
magnetic moment: 0.00 μB/atom
V: 142.0 Å³/f.u.
calculated total energy: -12.7695 eV per atom

Unit cell a=3.218 b=3.218 c=15.832 alpha=90.00 beta=90.00 gamma=120.00
Sites, in units of the cell vectors:
Mg 0.000 0.000 0.325
Mg 0.333 0.667 0.162
Mg 0.000 0.000 0.000
Mg 0.333 0.667 0.838
Mg 0.000 0.000 0.675
Tm 0.333 0.667 0.500


[3]
Material: PmSmZn2
Method: DFT, SCAN
State: PBEsol geometry

Properties
density: 7.74 g/cm³
calculated formation energy: -387 meV/atom
magnetic moment: 0.15 μB/atom
V: 91.4 Å³/f.u.
calculated total energy: -29.2514 eV per atom

Unit cell a=5.056 b=5.056 c=5.056 alpha=60.00 beta=60.00 gamma=60.00
Sites, in units of the cell vectors:
Zn 0.250 0.250 0.250
Zn 0.750 0.750 0.750
Sm 0.000 0.000 0.000
Pm 0.500 0.500 0.500